Computed, not measured: a relaxed structure of LaTm2Ni at the GGA-PBE level of DFT.

Energy relative to the elements, eV/f.u.: -0.85
Magnetization, μB per formula unit: 0.00
Space-group type: P4/mmm (123)

a b c (Å): 3.4182 3.4182 8.8549
angles (deg): 90.00 90.00 90.00
Fractional positions:
La (0.5000, 0.5000, 0.5000)
Tm (0.0000, 0.0000, 0.8218)
Ni (0.5000, 0.5000, 0.0000)
Tm (0.0000, 0.0000, 0.1782)

***

Computed, not measured: a relaxed structure of CaCe2Sn at the GGA-PBE level of DFT.

Energy relative to the elements, eV/f.u.: -1.17
Magnetization, μB per formula unit: 2.60
Space-group type: P4/mmm (123)

a b c (Å): 5.1825 4.7093 4.7093
angles (deg): 90.00 90.00 90.00
Fractional positions:
Ca (0.5000, 0.5000, 0.5000)
Ce (0.0000, 0.5000, 0.0000)
Sn (0.5000, 0.0000, 0.0000)
Ce (0.0000, 0.0000, 0.5000)

***

Computed, not measured: a relaxed structure of RbTl6Hg12 at the GGA-PBE level of DFT.

Energy relative to the elements, eV/f.u.: -0.25
Magnetization, μB per formula unit: 0.00
Space-group type: R-3m (166)

a b c (Å): 8.8928 8.8928 8.8928
angles (deg): 105.26 105.26 105.26
Fractional positions:
Hg (0.1088, 0.8912, 0.5000)
Rb (0.0000, 0.0000, 0.0000)
Tl (0.2904, 0.2904, 0.7146)
Hg (0.8912, 0.1088, 0.5000)
Tl (0.2904, 0.7146, 0.2904)
Hg (0.6225, 0.8666, 0.6225)
Tl (0.7146, 0.2904, 0.2904)
Hg (0.8666, 0.6225, 0.6225)
Hg (0.6225, 0.6225, 0.8666)
Hg (0.3775, 0.3775, 0.1334)
Tl (0.7096, 0.7096, 0.2854)
Hg (0.8912, 0.5000, 0.1088)
Hg (0.1334, 0.3775, 0.3775)
Tl (0.7096, 0.2854, 0.7096)
Hg (0.3775, 0.1334, 0.3775)
Hg (0.1088, 0.5000, 0.8912)
Tl (0.2854, 0.7096, 0.7096)
Hg (0.5000, 0.8912, 0.1088)
Hg (0.5000, 0.1088, 0.8912)

***

Computed, not measured: a relaxed structure of Tl2AuCl5 at the GGA-PBE level of DFT.

Magnetization, μB per formula unit: 0.06
ΔE_f (raw), meV/atom: -658
Space-group type: Cm (8)

a b c (Å): 7.7347 7.1276 7.7363
angles (deg): 125.87 90.29 119.56
Fractional positions:
Cl (0.6270, 0.3372, 0.7102)
Cl (0.2160, 0.0188, 0.8030)
Cl (0.7973, 0.0308, 0.8056)
Au (0.0061, 0.0246, 0.0187)
Tl (0.7427, 0.5140, 0.1713)
Cl (0.2248, 0.0299, 0.2333)
Cl (0.8209, 0.0849, 0.2639)
Tl (0.3423, 0.5137, 0.7710)

***

Computed, not measured: a relaxed structure of LiSi2As at the GGA-PBE level of DFT.

Magnetization, μB per formula unit: 0.00
ΔE_f (raw), meV/atom: 100
Space-group type: C2/m (12)

a b c (Å): 4.0090 5.5986 3.2220
angles (deg): 72.58 91.87 111.56
Fractional positions:
Li (0.5000, 0.5000, 0.0000)
As (0.0000, 0.5000, 0.5000)
Si (0.0000, 0.0000, 0.0000)
Si (0.5000, 0.0000, 0.5000)

***

Computed, not measured: a relaxed structure of Li2Cu2Sn3 at the GGA-PBE level of DFT.

Energy relative to the elements, eV/f.u.: -0.63
Magnetization, μB per formula unit: 0.00
Space-group type: C2/m (12)

a b c (Å): 4.2135 5.6108 7.2436
angles (deg): 111.95 90.00 112.05
Fractional positions:
Sn (0.6295, 0.2591, 0.4679)
Li (0.8326, 0.6652, 0.1716)
Cu (0.1297, 0.2594, 0.2104)
Sn (0.3705, 0.7409, 0.5321)
Li (0.1674, 0.3348, 0.8284)
Cu (0.8703, 0.7406, 0.7896)
Sn (0.5000, 0.0000, 0.0000)

***

Computed, not measured: a relaxed structure of KCdRu3 at the GGA-PBE level of DFT.

Energy relative to the elements, eV/f.u.: 10.14
Magnetization, μB per formula unit: 6.22
Space-group type: Pm-3m (221)

a b c (Å): 5.0845 5.0845 5.0845
angles (deg): 90.00 90.00 90.00
Fractional positions:
Ru (0.5000, 0.0000, 0.0000)
K (0.5000, 0.5000, 0.5000)
Ru (0.0000, 0.0000, 0.5000)
Ru (0.0000, 0.5000, 0.0000)
Cd (0.0000, 0.0000, 0.0000)

***

Computed, not measured: a relaxed structure of Nd7Sm3Tm at the GGA-PBE level of DFT.

Energy relative to the elements, eV/f.u.: 2.02
Magnetization, μB per formula unit: 0.00
Space-group type: C2/c (15)

a b c (Å): 10.3504 10.3519 12.7090
angles (deg): 65.47 114.53 139.10
Fractional positions:
Sm (0.0000, 0.0000, 0.0000)
Sm (0.6685, 0.3304, 0.2734)
Tm (0.5000, 0.5000, 0.5000)
Nd (0.1567, 0.8393, 0.7744)
Nd (0.2886, 0.2886, 0.7500)
Tm (0.5000, 0.5000, 0.0000)
Nd (0.1607, 0.8434, 0.2744)
Sm (0.0000, 0.0000, 0.5000)
Nd (0.0827, 0.4187, 0.4708)
Sm (0.3303, 0.6684, 0.2266)
Nd (0.5791, 0.9114, 0.4733)
Nd (0.9116, 0.5792, 0.0267)
Sm (0.3315, 0.6696, 0.7266)
Nd (0.4189, 0.0829, 0.0292)
Nd (0.9173, 0.5813, 0.5292)
Sm (0.6697, 0.3316, 0.7734)
Nd (0.8393, 0.1566, 0.7256)
Nd (0.0884, 0.4208, 0.9733)
Nd (0.8433, 0.1607, 0.2256)
Nd (0.7114, 0.7114, 0.2500)
Nd (0.4209, 0.0886, 0.5267)
Nd (0.5811, 0.9171, 0.9708)

***

Computed, not measured: a relaxed structure of PmCrH3 at the GGA-PBE level of DFT.

Total DFT energy (no corrections), eV/atom: -5.10
Magnetization, μB per formula unit: 0.94
Space-group type: Pm-3m (221)

a b c (Å): 3.6450 3.6450 3.6450
angles (deg): 90.00 90.00 90.00
Fractional positions:
H (0.5000, 0.0000, 0.0000)
Cr (0.0000, 0.0000, 0.0000)
H (0.0000, 0.0000, 0.5000)
H (0.0000, 0.5000, 0.0000)
Pm (0.5000, 0.5000, 0.5000)

***

Computed, not measured: a relaxed structure of NbCoRe2B at the GGA-PBE level of DFT.

Energy relative to the elements, eV/f.u.: 14.89
Magnetization, μB per formula unit: 3.56
Space-group type: P4/mmm (123)

a b c (Å): 4.7927 4.4375 4.7927
angles (deg): 90.00 90.00 90.00
Fractional positions:
Nb (0.0000, 0.0000, 0.0000)
Re (0.0000, 0.0000, 0.5000)
B (0.5000, 0.5000, 0.5000)
Co (0.0000, 0.5000, 0.0000)
Re (0.5000, 0.0000, 0.0000)

***

Computed, not measured: a relaxed structure of ScUPt2 at the GGA-PBE level of DFT.

Energy relative to the elements, eV/f.u.: -3.42
Magnetization, μB per formula unit: 2.30
Space-group type: P4/mmm (123)

a b c (Å): 3.2466 3.2466 7.2958
angles (deg): 90.00 90.00 90.00
Fractional positions:
Pt (0.0000, 0.0000, 0.2247)
Pt (0.0000, 0.0000, 0.7753)
Sc (0.5000, 0.5000, 0.0000)
U (0.5000, 0.5000, 0.5000)

***

Computed, not measured: a relaxed structure of Tb6PdS5 at the GGA-PBE level of DFT.

Magnetization, μB per formula unit: 0.00
ΔE_f (raw), meV/atom: -1811
Space-group type: C2/m (12)

a b c (Å): 6.8577 6.8577 6.8527
angles (deg): 99.65 99.65 119.94
Fractional positions:
S (0.6657, 0.3343, 0.0000)
S (0.8323, 0.1677, 0.5000)
Tb (0.9177, 0.5775, 0.7489)
Tb (0.7455, 0.7455, 0.2544)
S (0.1677, 0.8323, 0.5000)
Tb (0.4225, 0.0823, 0.2511)
Tb (0.2545, 0.2545, 0.7456)
Tb (0.5775, 0.9177, 0.7489)
Tb (0.0823, 0.4225, 0.2511)
Pd (0.0000, 0.0000, 0.0000)
S (0.5000, 0.5000, 0.5000)
S (0.3343, 0.6657, 0.0000)